[1]
Compound: MgRe2Au
Source: Alexandria
Functional: PBE-GGA
Structure: relaxed

Structure (POSCAR):
```
MgRe2Au
1.0
4.5324 -1.3987 0.0000
4.5324 1.3987 0.0000
-0.6277 0.0000 5.1071
Mg Re Au
1 2 1
direct
0.0000 0.0000 0.0000
0.2414 0.2414 0.6919
0.4939 0.4939 0.5169
0.7500 0.7500 0.1965
```

Values from the calculation:
formation energy from the elements	0.2443	eV per atom
density of states at the Fermi level	2.03	states/eV/cell


[2]
Compound: Mg2ReAu
Source: Alexandria
Functional: PBE-GGA
Structure: relaxed

Structure (POSCAR):
```
Mg2ReAu
1.0
1.7454 -2.1783 0.0000
1.7454 2.1783 0.0000
0.0000 0.0000 8.8408
Mg Re Au
2 1 1
direct
0.0000 0.0000 0.2474
0.0000 0.0000 0.7526
0.5000 0.5000 0.0000
0.5000 0.5000 0.5000
```

Values from the calculation:
ΔE to the lowest computed polymorph	0.0	meV per atom
formation energy from the elements	-0.0113	eV per atom
density of states at the Fermi level	1.40	states/eV/cell


[3]
Compound: MgReAu3
Source: Alexandria
Functional: PBE-GGA
Structure: relaxed

Structure (POSCAR):
```
MgReAu3
1.0
5.0507 0.0000 0.0000
0.0000 5.0507 0.0000
0.0000 0.0000 5.0507
Mg Re Au
1 1 3
direct
0.0000 0.0000 0.0000
0.5000 0.5000 0.5000
0.0000 0.5000 0.5000
0.5000 0.0000 0.5000
0.5000 0.5000 0.0000
```

Values from the calculation:
ΔE to the lowest computed polymorph	0.0	meV per atom
formation energy from the elements	0.9831	eV per atom
density of states at the Fermi level	4.59	states/eV/cell


[4]
Compound: Mg2ReAu
Source: Alexandria
Functional: PBE-GGA
Structure: relaxed

Structure (POSCAR):
```
Mg2ReAu
1.0
1.4552 0.8402 9.2676
-1.4552 0.8402 9.2676
0.0000 -1.6803 9.2676
Mg Re Au
2 1 1
direct
0.2502 0.2502 0.2502
0.7498 0.7498 0.7498
0.0000 0.0000 0.0000
0.5000 0.5000 0.5000
```

Values from the calculation:
ΔE to the lowest computed polymorph	70.1	meV per atom
formation energy from the elements	0.0588	eV per atom
density of states at the Fermi level	1.82	states/eV/cell


[5]
Compound: Mg2ReAu
Source: Alexandria
Functional: PBE-GGA
Structure: relaxed

Structure (POSCAR):
```
Mg2ReAu
1.0
3.0706 0.0000 0.0000
0.0000 4.5511 0.0000
0.0000 0.0000 4.8704
Mg Re Au
2 1 1
direct
0.0000 0.0000 0.0000
0.5000 0.0000 0.5000
0.0000 0.5000 0.5000
0.5000 0.5000 0.0000
```

Values from the calculation:
ΔE to the lowest computed polymorph	261.1	meV per atom
formation energy from the elements	0.2498	eV per atom
density of states at the Fermi level	3.34	states/eV/cell


[6]
Compound: MgRe2Au
Source: Alexandria
Functional: PBE-GGA
Structure: relaxed

Structure (POSCAR):
```
MgRe2Au
1.0
1.4040 0.8106 9.5142
-1.4040 0.8106 9.5142
0.0000 -1.6212 9.5142
Mg Re Au
1 2 1
direct
0.0000 0.0000 0.0000
0.2502 0.2502 0.2502
0.7498 0.7498 0.7498
0.5000 0.5000 0.5000
```

Values from the calculation:
formation energy from the elements	0.4902	eV per atom
density of states at the Fermi level	5.96	states/eV/cell


[7]
Compound: MgReAu4
Source: Alexandria
Functional: PBE-GGA
Structure: relaxed

Structure (POSCAR):
```
MgReAu4
1.0
0.0000 3.8545 3.8545
3.8545 0.0000 3.8545
3.8545 3.8545 0.0000
Mg Re Au
1 1 4
direct
0.0000 0.0000 0.0000
0.7500 0.7500 0.7500
0.3751 0.3751 0.3751
0.3751 0.3751 0.8748
0.3751 0.8748 0.3751
0.8748 0.3751 0.3751
```

Values from the calculation:
formation energy from the elements	0.5012	eV per atom
density of states at the Fermi level	3.25	states/eV/cell


[8]
Compound: Mg2ReAu
Source: Alexandria
Functional: PBE-GGA
Structure: relaxed

Structure (POSCAR):
```
Mg2ReAu
1.0
2.8710 0.0000 0.0000
0.0000 3.7958 0.0000
0.0000 0.0000 6.1739
Mg Re Au
2 1 1
direct
0.0000 0.0000 0.2455
0.0000 0.0000 0.7545
0.5000 0.5000 0.0000
0.5000 0.5000 0.5000
```

Values from the calculation:
ΔE to the lowest computed polymorph	119.6	meV per atom
formation energy from the elements	0.1083	eV per atom
density of states at the Fermi level	2.73	states/eV/cell


[9]
Compound: MgRe2Au
Source: Alexandria
Functional: PBE-GGA
Structure: relaxed

Structure (POSCAR):
```
MgRe2Au
1.0
2.7195 0.0000 0.0000
0.0000 4.8479 0.0000
-0.5539 0.0000 4.9532
Mg Re Au
1 2 1
direct
0.0000 0.0000 0.0000
0.3166 0.5000 0.7602
0.6834 0.5000 0.2398
0.5000 0.0000 0.5000
```

Values from the calculation:
formation energy from the elements	0.3271	eV per atom
density of states at the Fermi level	2.71	states/eV/cell


[10]
Compound: Mg2ReAu
Source: Alexandria
Functional: PBE-GGA
Structure: relaxed

Structure (POSCAR):
```
Mg2ReAu
1.0
4.1764 0.0000 0.0000
0.0000 4.1764 0.0000
0.0000 0.0000 3.8400
Mg Re Au
2 1 1
direct
0.0000 0.5000 0.0000
0.5000 0.0000 0.0000
0.0000 0.0000 0.5000
0.5000 0.5000 0.5000
```

Values from the calculation:
ΔE to the lowest computed polymorph	163.3	meV per atom
formation energy from the elements	0.1520	eV per atom
density of states at the Fermi level	2.36	states/eV/cell


[11]
Compound: MgRe2Au
Source: Alexandria
Functional: PBE-GGA
Structure: relaxed

Structure (POSCAR):
```
MgRe2Au
1.0
2.6800 0.0000 0.0000
0.0000 2.6800 0.0000
0.0000 0.0000 9.0141
Mg Re Au
1 2 1
direct
0.0000 0.0000 0.0000
0.5000 0.5000 0.2486
0.5000 0.5000 0.7514
0.0000 0.0000 0.5000
```

Values from the calculation:
formation energy from the elements	0.5060	eV per atom
density of states at the Fermi level	3.65	states/eV/cell


[12]
Compound: Mg2ReAu
Source: Alexandria
Functional: PBE-GGA
Structure: relaxed

Structure (POSCAR):
```
Mg2ReAu
1.0
2.9582 -4.1395 0.0000
2.9582 4.1395 0.0000
0.0000 0.0000 2.7629
Mg Re Au
2 1 1
direct
0.0000 0.5000 0.0000
0.5000 0.0000 0.0000
0.0000 0.0000 0.5000
0.5000 0.5000 0.5000
```

Values from the calculation:
ΔE to the lowest computed polymorph	76.3	meV per atom
formation energy from the elements	0.0650	eV per atom
density of states at the Fermi level	2.40	states/eV/cell